7
Lattice="3.402 -5.220 0.000 3.402 5.220 0.000 0.000 0.000 7.243" Properties=species:S:1:pos:R:3 comment="BaSrTl5 | Alexandria | PBE | relaxed" dft_energy_ev_per_atom=-2.390 formation_energy_mev_per_atom=-185 vol_a3_per_cell=257 n_ef_per_ev_cell=5.07 pbc="T T T"
Ba 0.000 0.000 0.000
Sr 3.402 0.000 3.622
Tl 0.000 0.000 3.622
Tl 1.701 2.610 1.919
Tl 1.701 2.610 5.324
Tl 1.701 -2.610 1.919
Tl 1.701 -2.610 5.324